AsPtRhSe2: relaxed, PBE.

a = 4.894 Å, b = 4.894 Å, c = 4.583 Å
α = 90.00°, β = 90.00°, γ = 90.00°
Atoms (fractional coordinates):
Se 0.000 0.500 0.000
As 0.000 0.000 0.500
Se 0.500 0.000 0.000
Pt 0.500 0.500 0.500
Rh 0.000 0.000 0.000

The value obtained for the uncorrected formation energy is 729 meV/atom. As for the density of states at the Fermi level: 5.1 states/eV/cell. The space-group type is P4/mmm (123). As for the energy above the most stable polymorph in this dataset: 0 meV per atom. The value obtained for the energy is -21.36 eV/cell.

=====

SmAs3PtRh2: relaxed, PBE.

a = 7.764 Å, b = 7.764 Å, c = 7.764 Å
α = 56.02°, β = 56.02°, γ = 56.02°
Atoms (fractional coordinates):
Rh 0.000 0.500 0.000
Rh 0.000 0.000 0.000
As 0.802 0.233 0.233
As 0.767 0.767 0.198
As 0.767 0.198 0.767
As 0.233 0.802 0.233
Sm 0.738 0.738 0.738
As 0.233 0.233 0.802
Sm 0.262 0.262 0.262
Rh 0.500 0.000 0.000
Pt 0.405 0.405 0.405
As 0.198 0.767 0.767
Pt 0.595 0.595 0.595
Rh 0.000 0.000 0.500

Its formation energy is -474 meV/atom. As for the density of states at the Fermi level: 10.4 states/eV/cell. The space-group type is R-3m (166). The value obtained for the energy is -85.46 eV/cell.

=====

SmAsPtRh: relaxed, PBE.

a = 4.231 Å, b = 4.008 Å, c = 5.125 Å
α = 113.02°, β = 90.00°, γ = 90.00°
Atoms (fractional coordinates):
Rh 0.000 0.900 0.800
As 0.000 0.624 0.248
Pt 0.500 0.493 0.986
Sm 0.500 0.211 0.422

Its formation energy is -584 meV/atom. As for the density of states at the Fermi level: 3.1 states/eV/cell. The space-group type is Amm2 (38). The value obtained for the energy is -25.10 eV/cell.

=====

Sm2As4Pt3Rh: relaxed, PBE.

a = 4.387 Å, b = 4.387 Å, c = 10.036 Å
α = 90.00°, β = 90.00°, γ = 90.00°
Atoms (fractional coordinates):
As 0.500 0.000 0.630
Rh 0.500 0.500 0.500
Pt 0.000 0.000 0.500
Pt 0.500 0.000 0.874
Sm 0.000 0.500 0.746
As 0.000 0.000 0.000
As 0.500 0.500 0.000
Pt 0.000 0.500 0.126
As 0.000 0.500 0.370
Sm 0.500 0.000 0.254

Its formation energy is -860 meV/atom. As for the density of states at the Fermi level: 4.5 states/eV/cell. The space-group type is P-4m2 (115). The value obtained for the energy is -62.11 eV/cell.

=====

SmAs2PtRh2: relaxed, PBE.

a = 4.343 Å, b = 6.742 Å, c = 7.814 Å
α = 90.00°, β = 90.00°, γ = 90.00°
Atoms (fractional coordinates):
Rh 0.500 0.142 0.239
As 0.000 0.291 0.201
As 0.000 0.709 0.799
Pt 0.500 0.500 0.500
As 0.500 0.209 0.701
Pt 0.000 0.000 0.000
As 0.500 0.791 0.299
Sm 0.000 0.000 0.500
Rh 0.000 0.642 0.261
Rh 0.500 0.858 0.761
Sm 0.500 0.500 0.000
Rh 0.000 0.358 0.739

Its formation energy is -503 meV/atom. As for the density of states at the Fermi level: 8.6 states/eV/cell. The space-group type is Pnnm (58). The value obtained for the energy is -75.56 eV/cell.

=====

TaAs2PtRh: relaxed, PBE.

a = 4.523 Å, b = 5.069 Å, c = 4.523 Å
α = 90.00°, β = 90.00°, γ = 90.00°
Atoms (fractional coordinates):
Rh 0.000 0.000 0.000
As 0.500 0.000 0.000
As 0.000 0.000 0.500
Pt 0.000 0.500 0.000
Ta 0.500 0.500 0.500

Its formation energy is 958 meV/atom. As for the density of states at the Fermi level: 5.5 states/eV/cell. The space-group type is P4/mmm (123). The value obtained for the energy is -29.75 eV/cell.

=====

Tb3As2PtRh9: relaxed, PBE.

a = 6.254 Å, b = 6.254 Å, c = 9.131 Å
α = 90.00°, β = 90.00°, γ = 120.00°
Atoms (fractional coordinates):
Rh 0.140 0.860 0.270
Rh 0.860 0.719 0.730
Rh 0.860 0.140 0.730
Tb 0.000 0.000 0.000
Rh 0.500 0.500 0.000
Tb 0.333 0.667 0.728
Rh 0.000 0.500 0.000
Tb 0.667 0.333 0.272
Rh 0.719 0.860 0.270
As 0.333 0.667 0.174
Rh 0.500 0.000 0.000
Rh 0.281 0.140 0.730
Rh 0.140 0.281 0.270
As 0.667 0.333 0.826
Pt 0.000 0.000 0.500

Its formation energy is -321 meV/atom. As for the density of states at the Fermi level: 14.7 states/eV/cell. The space-group type is P-3m1 (164). The value obtained for the energy is -100.21 eV/cell.

=====

Tb3As2Pt2Rh5: relaxed, PBE.

a = 4.036 Å, b = 4.036 Å, c = 13.662 Å
α = 98.49°, β = 98.49°, γ = 90.00°
Atoms (fractional coordinates):
Rh 0.500 0.500 0.000
As 0.629 0.629 0.258
Rh 0.421 0.921 0.841
Rh 0.579 0.079 0.159
Tb 0.000 0.000 0.000
Rh 0.921 0.421 0.841
Pt 0.278 0.278 0.557
Rh 0.079 0.579 0.159
Tb 0.830 0.830 0.660
Pt 0.722 0.722 0.443
Tb 0.170 0.170 0.340
As 0.371 0.371 0.742

Its formation energy is -845 meV/atom. As for the density of states at the Fermi level: 6.8 states/eV/cell. The space-group type is I4/mmm (139). The value obtained for the energy is -82.17 eV/cell.

=====

Th2As4Pt3Rh: relaxed, PBE.

a = 4.424 Å, b = 4.424 Å, c = 9.999 Å
α = 90.00°, β = 90.00°, γ = 90.00°
Atoms (fractional coordinates):
Pt 0.500 0.000 0.872
Rh 0.500 0.500 0.500
Pt 0.000 0.500 0.128
Th 0.000 0.500 0.741
As 0.500 0.000 0.627
As 0.000 0.000 0.000
Th 0.500 0.000 0.259
Pt 0.000 0.000 0.500
As 0.000 0.500 0.373
As 0.500 0.500 0.000

Its formation energy is -849 meV/atom. As for the density of states at the Fermi level: 5.6 states/eV/cell. The space-group type is P-4m2 (115). The value obtained for the energy is -67.40 eV/cell.

=====

Th2AsPt2Rh4: relaxed, PBE.

a = 6.186 Å, b = 6.186 Å, c = 6.186 Å
α = 89.96°, β = 120.02°, γ = 120.02°
Atoms (fractional coordinates):
Rh 0.000 0.270 0.730
Rh 0.540 0.270 0.270
As 0.000 0.000 0.000
Th 0.500 0.250 0.750
Rh 0.000 0.730 0.270
Pt 0.000 0.277 0.277
Rh 0.460 0.730 0.730
Th 0.500 0.750 0.250
Pt 0.000 0.723 0.723

Its formation energy is -848 meV/atom. As for the density of states at the Fermi level: 5.0 states/eV/cell. The space-group type is I4/mmm (139). The value obtained for the energy is -68.61 eV/cell.

=====

Th3As2Pt2Rh5: relaxed, PBE.

a = 4.123 Å, b = 4.123 Å, c = 13.900 Å
α = 98.53°, β = 98.53°, γ = 90.00°
Atoms (fractional coordinates):
Th 0.000 0.000 0.000
Rh 0.500 0.500 0.000
As 0.626 0.626 0.253
Pt 0.721 0.721 0.442
Th 0.830 0.830 0.660
Rh 0.079 0.579 0.159
Rh 0.921 0.421 0.841
Th 0.170 0.170 0.340
As 0.374 0.374 0.747
Rh 0.579 0.079 0.159
Pt 0.279 0.279 0.558
Rh 0.421 0.921 0.841

Its formation energy is -933 meV/atom. As for the density of states at the Fermi level: 4.4 states/eV/cell. The space-group type is I4/mmm (139). The value obtained for the energy is -91.59 eV/cell.

=====

ThAs2PtRh5: relaxed, PBE.

a = 4.179 Å, b = 4.179 Å, c = 8.871 Å
α = 90.00°, β = 90.00°, γ = 90.00°
Atoms (fractional coordinates):
As 0.500 0.500 0.134
Pt 0.000 0.000 0.000
As 0.500 0.500 0.866
Rh 0.500 0.000 0.740
Th 0.000 0.000 0.500
Rh 0.000 0.500 0.260
Rh 0.500 0.000 0.260
Rh 0.500 0.500 0.500
Rh 0.000 0.500 0.740

Its formation energy is -382 meV/atom. As for the density of states at the Fermi level: 8.8 states/eV/cell. The space-group type is P4/mmm (123). The value obtained for the energy is -62.96 eV/cell.